Material: CoPt2O4
Method: DFT, PBE+U
State: optimized geometry

Calculated values
Its spin magnetization is 2.7 μB per cell. Its total energy is -78.324 eV/cell. The value obtained for the calculated volume is 168 Å³/cell.

a b c (Å): 6.1879 6.1879 6.1879
angles (deg): 120.01 89.99 120.01
Positions (direct):
Pt  0.8750  0.2500  0.6250
Pt  0.3750  0.7500  0.6250
Pt  0.3750  0.7500  0.1250
Pt  0.3750  0.2500  0.6250
O  0.1320  0.2640  0.8681
O  0.1459  0.7640  0.3819
O  0.1319  0.2640  0.3959
O  0.6180  0.2360  0.3819
O  0.6181  0.2360  0.8541
O  0.6041  0.7360  0.8681
O  0.1319  0.7360  0.8680
O  0.6181  0.7640  0.3820
Co  0.7500  0.5000  0.2500
Co  0.0000  0.0000  0.0000